(1)
Mg11Cu2O13 | SCAN | PBEsol geometry

Structure (extended XYZ):
```
26
Lattice="-1.493 2.100 19.365 1.493 -2.100 19.365 1.493 2.100 -19.365" Properties=species:S:1:pos:R:3 pbc="T T T"
Mg 0.000 0.000 0.000
Mg 0.000 0.000 2.980
Mg 0.000 0.000 8.945
Mg 0.000 0.000 11.934
Mg 0.000 0.000 14.876
Mg 0.000 0.000 17.871
Mg 0.000 0.000 20.860
Mg 0.000 0.000 23.854
Mg 0.000 0.000 26.796
Mg 0.000 0.000 29.785
Mg 0.000 0.000 35.750
Cu 0.000 0.000 5.962
Cu 0.000 0.000 32.768
O 1.493 0.000 1.491
O 1.493 0.000 4.450
O 1.493 0.000 7.473
O 1.493 0.000 10.432
O 1.493 0.000 13.404
O 1.493 0.000 16.379
O 0.000 2.100 0.000
O 0.000 2.100 2.986
O 0.000 2.100 5.961
O 0.000 2.100 8.933
O 0.000 2.100 11.892
O 0.000 2.100 14.915
O 0.000 2.100 17.874
```

Calculated values
- Energy relative to the elements, uncorrected: -2.6329 eV per atom
- Mass density: 4.12 g cm⁻³
- Crystal system: orthorhombic
- Space-group type: Immm (71)

(2)
Nd2NiB10 | SCAN | PBEsol geometry

Structure (extended XYZ):
```
26
Lattice="5.585 0.000 0.000 0.000 11.142 0.000 0.000 0.000 4.173" Properties=species:S:1:pos:R:3 pbc="T T T"
Nd 1.047 1.530 0.000
Nd 1.745 7.101 0.000
Nd 3.840 4.041 0.000
Nd 4.537 9.612 0.000
Ni 0.000 5.571 2.086
Ni 2.792 0.000 2.086
B 0.167 3.495 2.086
B 0.709 10.685 2.086
B 0.891 8.939 2.086
B 1.112 4.306 0.833
B 1.112 4.306 3.339
B 1.681 9.877 0.833
B 1.681 9.877 3.339
B 1.901 3.368 2.086
B 2.083 5.114 2.086
B 2.625 9.066 2.086
B 2.960 2.076 2.086
B 3.501 6.028 2.086
B 3.683 7.774 2.086
B 3.904 1.265 0.833
B 3.904 1.265 3.339
B 4.473 6.836 0.833
B 4.473 6.836 3.339
B 4.693 2.203 2.086
B 4.876 0.457 2.086
B 5.417 7.647 2.086
```

Calculated values
- Formation energy: -0.60 eV per atom
- Mass density: 5.82 g cm⁻³
- Crystal system: orthorhombic
- Space-group type: Pbam (55)